(1)
An optimized crystal structure of Ni2AgRh, computed with GGA-PBEsol.

Unit cell a=5.897 b=5.897 c=5.897 alpha=90.00 beta=90.00 gamma=90.00
Space group Fm-3m (No. 225)
Asymmetric unit:
Ni (0.250, 0.250, 0.250)
Ag (0.000, 0.000, 0.000)
Rh (0.000, 0.000, 0.500)

Calculated values
ΔH_f (0 K)	0.2906	eV per atom

(2)
An optimized crystal structure of YCo9Si4, computed with GGA-PBEsol.

Unit cell a=7.606 b=7.606 c=11.237 alpha=90.00 beta=90.00 gamma=90.00
Space group I4/mcm (No. 140)
Asymmetric unit:
Y (0.000, 0.000, 0.250)
Co (0.000, 0.500, 0.000)
Co (0.071, 0.200, 0.000)
Co (0.130, 0.370, 0.180)
Si (0.170, 0.330, 0.378)

Calculated values
ΔE_f (raw)	-0.5621	eV per atom

(3)
An optimized crystal structure of Na5GeAs3, computed with GGA-PBEsol.

Unit cell a=8.298 b=7.487 c=15.713 alpha=90.00 beta=121.77 gamma=90.00
Space group P2_1/c (No. 14)
Asymmetric unit:
Na (0.004, 0.163, 0.081)
Na (0.080, 0.005, 0.757)
Na (0.261, 0.518, 0.088)
Na (0.314, 0.647, 0.742)
Na (0.415, 0.036, 0.086)
Ge (0.343, 0.144, 0.412)
As (0.073, 0.235, 0.918)
As (0.340, 0.692, 0.933)
As (0.360, 0.241, 0.269)

Calculated values
ΔH_f (0 K)	-0.3848	eV per atom

(4)
An optimized crystal structure of KReI3, computed with GGA-PBEsol.

Unit cell a=6.246 b=6.246 c=6.246 alpha=90.00 beta=90.00 gamma=90.00
Space group Pm-3m (No. 221)
Asymmetric unit:
K (0.000, 0.000, 0.000)
Re (0.500, 0.500, 0.500)
I (0.000, 0.000, 0.500)

Calculated values
ΔE_f (raw)	1.2980	eV per atom

Sequential total magnetization output: 2.1, 3.1, 0.0, 7.0 μB per formula unit
Sequential E_tot output: -5.651, -7.665, -3.413, -2.655 eV per atom